# 1
Material: Mn3VCr
Method: DFT, PBE
State: relaxed

The uncorrected energy comes out at -8.26 eV per atom. The formation energy is 0.9931 eV per atom. The excess energy over the best structure of this formula in the dataset is 1029 meV per atom. Its total moment is 2.93 μB per cell. For the theoretical density, the calculation gives 5.8 g/cm3.

abc: 4.2527 4.2527 4.2527
angles: 90.00 90.00 90.00
Space group Pm-3m (No. 221)
Symmetry-distinct sites (fractional):
1 Mn 0.0000 0.0000 0.5000 [3 per cell]
2 V 0.5000 0.5000 0.5000 [1 per cell]
3 Cr 0.0000 0.0000 0.0000 [1 per cell]

---

# 2
Material: Mn2V4Cr
Method: DFT, PBE
State: relaxed

The uncorrected energy comes out at -8.36 eV per atom. The formation energy is 0.8454 eV per atom. The excess energy over the best structure of this formula in the dataset is 743 meV per atom. Its total moment is 1.53 μB per cell. For the theoretical density, the calculation gives 5.5 g/cm3.

abc: 4.2619 4.2619 12.1705
angles: 90.00 90.00 90.00
Space group I4/mmm (No. 139)
Symmetry-distinct sites (fractional):
1 Mn 0.0000 0.0000 0.1210 [4 per cell]
2 V 0.0000 0.0000 0.3093 [4 per cell]
3 V 0.0000 0.5000 0.0000 [4 per cell]
4 Cr 0.0000 0.0000 0.5000 [2 per cell]